{"formula": "TlSn4Pb8", "functional": "PBE", "state": "optimized geometry", "lattice": [[-4.160, -4.197, -0.770], [2.438, -2.389, -0.150], [-3.205, -4.468, 19.066]], "species": ["Tl", "Sn", "Sn", "Sn", "Sn", "Pb", "Pb", "Pb", "Pb", "Pb", "Pb", "Pb", "Pb"], "fractional_positions": [[0.928, 0.000, 0.333], [0.074, 0.000, 0.035], [0.953, 0.500, 0.632], [0.456, 0.500, 0.407], [0.663, 0.000, 0.941], [0.997, 0.000, 0.489], [0.213, 0.500, 0.890], [0.538, 0.500, 0.087], [0.463, 0.000, 0.564], [0.987, 0.500, 0.182], [0.866, 0.000, 0.779], [0.461, 0.000, 0.247], [0.403, 0.500, 0.718]], "delta_e_f_ev_per_atom": 0.06, "spacegroup": "Pm"}